[1]
! MnPt2Cl | Alexandria | PBEsol | optimized geometry; values from VASP
! energy above the most stable polymorph in this dataset: 0.0000 eV per atom
! uncorrected formation energy: 312 meV per atom
! size of the total moment: 3.9 Bohr magnetons per cell
&SYSTEM
  ibrav = 0, nat = 4, ntyp = 3
/
ATOMIC_SPECIES
Mn 54.94 Mn.upf
Pt 195.08 Pt.upf
Cl 35.45 Cl.upf
CELL_PARAMETERS angstrom
-1.422 2.355 4.561
1.422 -2.355 4.561
1.422 2.355 -4.561
ATOMIC_POSITIONS crystal
Mn 0.000 0.000 0.000
Pt 0.225 0.725 0.500
Pt 0.505 0.505 0.000
Cl 0.802 0.302 0.500

=====

[2]
! MnPtCl2 | Alexandria | PBEsol | optimized geometry; values from VASP
! energy above the most stable polymorph in this dataset: 0.5751 eV per atom
! uncorrected formation energy: 398 meV per atom
! size of the total moment: 4.9 Bohr magnetons per cell
&SYSTEM
  ibrav = 0, nat = 4, ntyp = 3
/
ATOMIC_SPECIES
Mn 54.94 Mn.upf
Pt 195.08 Pt.upf
Cl 35.45 Cl.upf
CELL_PARAMETERS angstrom
0.000 3.216 3.216
3.216 0.000 3.216
3.216 3.216 0.000
ATOMIC_POSITIONS crystal
Mn 0.000 0.000 0.000
Pt 0.250 0.250 0.250
Cl 0.500 0.500 0.500
Cl 0.750 0.750 0.750

=====

[3]
! MnPtCl2 | Alexandria | PBEsol | optimized geometry; values from VASP
! energy above the most stable polymorph in this dataset: 0.0000 eV per atom
! uncorrected formation energy: -177 meV per atom
! size of the total moment: 5.0 Bohr magnetons per cell
&SYSTEM
  ibrav = 0, nat = 4, ntyp = 3
/
ATOMIC_SPECIES
Mn 54.94 Mn.upf
Pt 195.08 Pt.upf
Cl 35.45 Cl.upf
CELL_PARAMETERS angstrom
3.612 0.000 0.000
0.000 3.552 0.000
-0.217 0.000 6.440
ATOMIC_POSITIONS crystal
Mn 0.000 0.000 0.000
Pt 0.505 0.500 0.118
Cl 0.255 0.500 0.775
Cl 0.768 0.000 0.364

=====

[4]
! MnPtCl2 | Alexandria | PBEsol | optimized geometry; values from VASP
! energy above the most stable polymorph in this dataset: 0.3222 eV per atom
! uncorrected formation energy: 145 meV per atom
! size of the total moment: 4.0 Bohr magnetons per cell
&SYSTEM
  ibrav = 0, nat = 4, ntyp = 3
/
ATOMIC_SPECIES
Mn 54.94 Mn.upf
Pt 195.08 Pt.upf
Cl 35.45 Cl.upf
CELL_PARAMETERS angstrom
-1.469 2.818 4.077
1.469 -2.818 4.077
1.469 2.818 -4.077
ATOMIC_POSITIONS crystal
Mn 0.000 0.000 0.000
Pt 0.500 0.500 0.000
Cl 0.225 0.725 0.500
Cl 0.775 0.275 0.500

=====

Which of these has the highest uncorrected formation energy?
number 2

=====

What is the size of the total moment in the second record?
4.9 Bohr magnetons per cell

=====

uncorrected formation energy of number 3 (MnPtCl2)?
-177 meV per atom

=====

Which formula does entry 2 have?
MnPtCl2